## 1
DFT (PBE) results for crystalline SrInAgPt at its relaxed geometry.

Summary:
DOS(E_F)   9.3 states/eV/cell

a = 7.1374 Å, b = 7.1374 Å, c = 7.1374 Å
α = 90.00°, β = 90.00°, γ = 90.00°
With the nearest neighbours (Å) after each atom.
Atoms (fractional coordinates):
Sr 0.0000 0.0000 0.0000  4 Pt 3.09, 4 Ag 3.09
Sr 0.0000 0.5000 0.5000  4 Pt 3.09, 4 Ag 3.09
Sr 0.5000 0.0000 0.5000  4 Pt 3.09, 4 Ag 3.09
Sr 0.5000 0.5000 0.0000  4 Pt 3.09, 4 Ag 3.09
In 0.0000 0.0000 0.5000  4 Ag 3.09, 4 Pt 3.09
In 0.0000 0.5000 0.0000  4 Ag 3.09, 4 Pt 3.09
In 0.5000 0.0000 0.0000  4 Ag 3.09, 4 Pt 3.09
In 0.5000 0.5000 0.5000  4 Ag 3.09, 4 Pt 3.09
Ag 0.2500 0.2500 0.7500  4 In 3.09, 4 Sr 3.09
Ag 0.2500 0.7500 0.2500  4 In 3.09, 4 Sr 3.09
Ag 0.7500 0.2500 0.2500  4 In 3.09, 4 Sr 3.09
Ag 0.7500 0.7500 0.7500  4 In 3.09, 4 Sr 3.09
Pt 0.2500 0.2500 0.2500  4 In 3.09, 4 Sr 3.09
Pt 0.2500 0.7500 0.7500  4 In 3.09, 4 Sr 3.09
Pt 0.7500 0.2500 0.7500  4 In 3.09, 4 Sr 3.09
Pt 0.7500 0.7500 0.2500  4 In 3.09, 4 Sr 3.09



## 2
DFT (PBE) results for crystalline SrInAgPt at its relaxed geometry.

Summary:
DOS(E_F)   3.3 states/eV/cell

a = 4.2991 Å, b = 4.2991 Å, c = 11.2974 Å
α = 90.00°, β = 90.00°, γ = 90.00°
With the nearest neighbours (Å) after each atom.
Atoms (fractional coordinates):
Sr 0.2500 0.2500 0.2332  4 Pt 3.31, 4 Ag 3.40, 4 In 3.70
Sr 0.7500 0.7500 0.7668  4 Pt 3.31, 4 Ag 3.40, 4 In 3.70
In 0.2500 0.7500 0.5000  4 Pt 2.75, 4 In 3.04
In 0.7500 0.2500 0.5000  4 Pt 2.75, 4 In 3.04
Ag 0.2500 0.7500 0.0000  4 Ag 3.04, 4 Sr 3.40
Ag 0.7500 0.2500 0.0000  4 Ag 3.04, 4 Sr 3.40
Pt 0.2500 0.2500 0.6514  4 In 2.75
Pt 0.7500 0.7500 0.3486  4 In 2.75



Stability ranking, top and bottom: 2 is the most stable and 1 is the least stable.



## 1
DFT (PBE) results for crystalline PuInAg3 at its relaxed geometry.

Summary:
DOS(E_F)   18.2 states/eV/cell

a = 4.9849 Å, b = 3.0495 Å, c = 13.9288 Å
α = 90.00°, β = 90.00°, γ = 90.00°
With the nearest neighbours (Å) after each atom.
Atoms (fractional coordinates):
Pu 0.2500 0.0000 0.1540  2 Pu 3.05, 10 Ag 3.25-3.26, 2 In 3.39
Pu 0.7500 0.0000 0.8460  2 Pu 3.05, 10 Ag 3.25-3.26, 2 In 3.39
In 0.2500 0.5000 0.3714  8 Ag 2.95-3.09, 2 In 3.05
In 0.7500 0.5000 0.6286  8 Ag 2.95-3.09, 2 In 3.05
Ag 0.2500 0.0000 0.5574  6 Ag 2.96-3.05, 6 In 3.01-3.09
Ag 0.2500 0.5000 0.7416  5 Ag 2.87-3.05, 2 In 2.95
Ag 0.2500 0.5000 0.9474  5 Ag 2.87-3.05
Ag 0.7500 0.0000 0.4426  6 Ag 2.96-3.05, 6 In 3.01-3.09
Ag 0.7500 0.5000 0.0526  5 Ag 2.87-3.05
Ag 0.7500 0.5000 0.2584  5 Ag 2.87-3.05, 2 In 2.95



## 2
DFT (PBE) results for crystalline PuInAg3 at its relaxed geometry.

Summary:
DOS(E_F)   8.8 states/eV/cell

a = 7.6850 Å, b = 3.1708 Å, c = 8.5862 Å
α = 90.00°, β = 95.44°, γ = 90.00°
With the nearest neighbours (Å) after each atom.
Atoms (fractional coordinates):
Pu 0.0127 0.2500 0.0971  2 Pu 2.30
Pu 0.9873 0.7500 0.9029  2 Pu 2.30
In 0.2842 0.7500 0.3782  7 Ag 2.88-3.06, 2 In 3.17
In 0.7158 0.2500 0.6218  7 Ag 2.88-3.06, 2 In 3.17
Ag 0.1065 0.2500 0.6155  6 Ag 2.85-3.17, 3 In 3.01, 2 Pu 3.14
Ag 0.3689 0.7500 0.0583  5 Ag 2.82-2.94, 1 In 2.88, 1 Pu 3.10
Ag 0.4033 0.7500 0.7203  7 Ag 2.85-3.17, 3 In 2.99-3.06
Ag 0.5967 0.2500 0.2797  7 Ag 2.85-3.17, 3 In 2.99-3.06
Ag 0.6311 0.2500 0.9417  5 Ag 2.82-2.94, 1 In 2.88, 1 Pu 3.10
Ag 0.8935 0.7500 0.3845  6 Ag 2.85-3.17, 3 In 3.01, 2 Pu 3.14



Stability ranking, top and bottom: 1 is the most stable and 2 is the least stable.



## 1
DFT (PBE) results for crystalline PuInAgSn at its relaxed geometry.

Summary:
DOS(E_F)   44.8 states/eV/cell

a = 7.2915 Å, b = 7.2915 Å, c = 7.2915 Å
α = 90.00°, β = 90.00°, γ = 90.00°
With the nearest neighbours (Å) after each atom.
Atoms (fractional coordinates):
Pu 0.0000 0.0000 0.0000  4 Sn 3.16, 4 Ag 3.16
Pu 0.0000 0.5000 0.5000  4 Sn 3.16, 4 Ag 3.16
Pu 0.5000 0.0000 0.5000  4 Sn 3.16, 4 Ag 3.16
Pu 0.5000 0.5000 0.0000  4 Sn 3.16, 4 Ag 3.16
In 0.0000 0.0000 0.5000  4 Sn 3.16, 4 Ag 3.16
In 0.0000 0.5000 0.0000  4 Sn 3.16, 4 Ag 3.16
In 0.5000 0.0000 0.0000  4 Sn 3.16, 4 Ag 3.16
In 0.5000 0.5000 0.5000  4 Sn 3.16, 4 Ag 3.16
Ag 0.2500 0.2500 0.2500  4 In 3.16, 4 Pu 3.16
Ag 0.2500 0.7500 0.7500  4 In 3.16, 4 Pu 3.16
Ag 0.7500 0.2500 0.7500  4 In 3.16, 4 Pu 3.16
Ag 0.7500 0.7500 0.2500  4 In 3.16, 4 Pu 3.16
Sn 0.2500 0.2500 0.7500  4 In 3.16, 4 Pu 3.16
Sn 0.2500 0.7500 0.2500  4 In 3.16, 4 Pu 3.16
Sn 0.7500 0.2500 0.2500  4 In 3.16, 4 Pu 3.16
Sn 0.7500 0.7500 0.7500  4 In 3.16, 4 Pu 3.16



## 2
DFT (PBE) results for crystalline PuInAgSn at its relaxed geometry.

Summary:
DOS(E_F)   12.5 states/eV/cell

a = 4.4824 Å, b = 4.5194 Å, c = 4.7770 Å
α = 90.00°, β = 90.00°, γ = 90.00°
With the nearest neighbours (Å) after each atom.
Atoms (fractional coordinates):
Pu 0.0000 0.0000 0.0000  4 Sn 3.18, 4 In 3.28, 4 Ag 3.29
In 0.5000 0.0000 0.5000  4 Ag 3.18, 4 Pu 3.28, 4 Sn 3.29
Ag 0.0000 0.5000 0.5000  4 In 3.18, 4 Sn 3.28, 4 Pu 3.29
Sn 0.5000 0.5000 0.0000  4 Pu 3.18, 4 Ag 3.28, 4 In 3.29



Stability ranking, top and bottom: 2 is the most stable and 1 is the least stable.



## 1
DFT (PBE) results for crystalline RbIn4Ag2 at its relaxed geometry.

Summary:
DOS(E_F)   5.9 states/eV/cell

a = 7.8796 Å, b = 7.8796 Å, c = 5.8623 Å
α = 90.00°, β = 90.00°, γ = 90.00°
With the nearest neighbours (Å) after each atom.
Atoms (fractional coordinates):
Rb 0.0000 0.0000 0.0000  12 In 3.39-3.65
Rb 0.5000 0.5000 0.5000  12 In 3.39-3.65
In 0.1958 0.1958 0.5000  4 In 3.09-3.17, 4 Ag 3.21, 1 Rb 3.39
In 0.1958 0.8042 0.5000  4 In 3.09-3.17, 4 Ag 3.21, 1 Rb 3.39
In 0.3042 0.3042 0.0000  4 In 3.09-3.17, 4 Ag 3.21, 1 Rb 3.39
In 0.3042 0.6958 0.0000  4 In 3.09-3.17, 4 Ag 3.21, 1 Rb 3.39
In 0.6958 0.3042 0.0000  4 In 3.09-3.17, 4 Ag 3.21, 1 Rb 3.39
In 0.6958 0.6958 0.0000  4 In 3.09-3.17, 4 Ag 3.21, 1 Rb 3.39
In 0.8042 0.1958 0.5000  4 In 3.09-3.17, 4 Ag 3.21, 1 Rb 3.39
In 0.8042 0.8042 0.5000  4 In 3.09-3.17, 4 Ag 3.21, 1 Rb 3.39
Ag 0.0000 0.5000 0.2500  2 Ag 2.93, 8 In 3.21
Ag 0.0000 0.5000 0.7500  2 Ag 2.93, 8 In 3.21
Ag 0.5000 0.0000 0.2500  2 Ag 2.93, 8 In 3.21
Ag 0.5000 0.0000 0.7500  2 Ag 2.93, 8 In 3.21



## 2
DFT (PBE) results for crystalline RbIn4Ag2 at its relaxed geometry.

Summary:
DOS(E_F)   8.6 states/eV/cell

a = 9.3060 Å, b = 9.3060 Å, c = 4.4641 Å
α = 90.00°, β = 90.00°, γ = 90.00°
With the nearest neighbours (Å) after each atom.
Atoms (fractional coordinates):
Rb 0.0000 0.0000 0.0000  6 Ag 3.65-3.68, 8 In 3.89
Rb 0.5000 0.5000 0.5000  6 Ag 3.65-3.68, 8 In 3.89
In 0.0738 0.3341 0.5000  3 Ag 2.95-2.97, 4 In 3.27
In 0.1659 0.5738 0.0000  3 Ag 2.95-2.97, 4 In 3.27
In 0.3341 0.0738 0.5000  3 Ag 2.95-2.97, 4 In 3.27
In 0.4262 0.8341 0.0000  3 Ag 2.95-2.97, 4 In 3.27
In 0.5738 0.1659 0.0000  3 Ag 2.95-2.97, 4 In 3.27
In 0.6659 0.9262 0.5000  3 Ag 2.95-2.97, 4 In 3.27
In 0.8341 0.4262 0.0000  3 Ag 2.95-2.97, 4 In 3.27
In 0.9262 0.6659 0.5000  3 Ag 2.95-2.97, 4 In 3.27
Ag 0.2227 0.7773 0.5000  6 In 2.95-2.97
Ag 0.2773 0.2773 0.0000  6 In 2.95-2.97
Ag 0.7227 0.7227 0.0000  6 In 2.95-2.97
Ag 0.7773 0.2227 0.5000  6 In 2.95-2.97



Stability ranking, top and bottom: 2 is the most stable and 1 is the least stable.